Entry 1:
A geometry-optimized Ge structure. Source: the Alexandria database, functional PBE-GGA.

POSCAR file:
```
Ge
1.0
2.555 -1.316 5.382
-4.548 -3.915 -1.104
4.193 -0.459 -4.408
Ge
8
Direct
0.000 0.797 0.500
0.500 0.000 0.797
0.797 0.500 0.000
0.703 0.703 0.703
0.000 0.203 0.500
0.500 0.000 0.203
0.203 0.500 0.000
0.297 0.297 0.297
```

Computed properties:
SG = Ia-3
energy relative to the lowest polymorph listed for this composition = 140 meV per atom
total magnetic moment = 0.00 μB per cell

Entry 2:
A geometry-optimized Ge structure. Source: the Alexandria database, functional PBE-GGA.

POSCAR file:
```
Ge
1.0
-7.860 0.374 0.894
-0.170 -7.726 1.733
0.954 1.701 7.676
Ge
16
Direct
0.160 0.160 0.160
0.160 0.840 0.840
0.840 0.160 0.840
0.840 0.840 0.160
0.840 0.840 0.840
0.840 0.160 0.160
0.160 0.840 0.160
0.160 0.160 0.840
0.660 0.660 0.660
0.660 0.340 0.340
0.340 0.660 0.340
0.340 0.340 0.660
0.340 0.340 0.340
0.340 0.660 0.660
0.660 0.340 0.660
0.660 0.660 0.340
```

Computed properties:
SG = Im-3m
energy relative to the lowest polymorph listed for this composition = 265 meV per atom
total magnetic moment = 0.00 μB per cell

Entry 3:
A geometry-optimized Ge structure. Source: the Alexandria database, functional PBE-GGA.

POSCAR file:
```
Ge
1.0
3.005 -0.074 -0.001
-0.099 3.006 0.002
-1.452 -1.465 2.150
Ge
1
Direct
0.001 0.983 0.990
```

Computed properties:
SG = Fmmm
energy relative to the lowest polymorph listed for this composition = 327 meV per atom
total magnetic moment = 0.00 μB per cell

Entry 4:
A geometry-optimized Ge structure. Source: the Alexandria database, functional PBE-GGA.

POSCAR file:
```
Ge
1.0
-3.317 1.029 2.155
-3.514 -0.589 -5.127
-1.950 -11.960 2.711
Ge
12
Direct
0.000 0.883 0.647
0.500 0.117 0.853
0.500 0.117 0.147
0.000 0.883 0.353
0.000 0.613 0.000
0.500 0.387 0.500
0.000 0.883 0.852
0.500 0.117 0.648
0.500 0.117 0.352
0.000 0.883 0.148
0.000 0.613 0.500
0.500 0.387 0.000
```

Computed properties:
SG = Pmma
energy relative to the lowest polymorph listed for this composition = 133 meV per atom
total magnetic moment = 0.00 μB per cell

Entry 5:
A geometry-optimized Ge structure. Source: the Alexandria database, functional PBE-GGA.

POSCAR file:
```
Ge
1.0
7.095 0.000 0.000
0.000 7.095 0.000
0.000 0.000 7.095
Ge
12
Direct
0.250 0.000 0.500
0.750 0.000 0.500
0.000 0.500 0.250
0.000 0.500 0.750
0.500 0.250 0.000
0.500 0.750 0.000
0.000 0.750 0.500
0.000 0.250 0.500
0.750 0.500 0.000
0.250 0.500 0.000
0.500 0.000 0.750
0.500 0.000 0.250
```

Computed properties:
SG = Im-3m
energy relative to the lowest polymorph listed for this composition = 178 meV per atom
total magnetic moment = 0.00 μB per cell

Entry 6:
A geometry-optimized Ge structure. Source: the Alexandria database, functional PBE-GGA.

POSCAR file:
```
Ge
1.0
7.387 0.000 0.000
0.000 7.387 0.000
0.000 0.000 8.325
Ge
16
Direct
0.095 0.596 0.412
0.595 0.904 0.338
0.405 0.096 0.838
0.905 0.404 0.912
0.404 0.905 0.088
0.904 0.595 0.662
0.096 0.405 0.162
0.596 0.095 0.588
0.111 0.061 0.147
0.611 0.439 0.603
0.389 0.561 0.103
0.889 0.939 0.647
0.939 0.889 0.353
0.439 0.611 0.397
0.561 0.389 0.897
0.061 0.111 0.853
```

Computed properties:
SG = P4_12_12
energy relative to the lowest polymorph listed for this composition = 215 meV per atom
total magnetic moment = 0.00 μB per cell

Entry 7:
A geometry-optimized Ge structure. Source: the Alexandria database, functional PBE-GGA.

POSCAR file:
```
Ge
1.0
-1.852 3.120 1.824
-0.959 -3.811 1.024
9.463 0.137 9.377
Ge
8
Direct
0.000 0.000 0.407
0.000 0.000 0.593
0.000 0.000 0.907
0.000 0.000 0.093
0.333 0.667 0.344
0.667 0.333 0.656
0.667 0.333 0.844
0.333 0.667 0.156
```

Computed properties:
SG = P6_3/mmc
energy relative to the lowest polymorph listed for this composition = 5 meV per atom
total magnetic moment = 0.00 μB per cell

Entry 8:
A geometry-optimized Ge structure. Source: the Alexandria database, functional PBE-GGA.

POSCAR file:
```
Ge
1.0
7.158 0.000 0.000
0.000 4.016 0.000
0.000 0.000 11.585
Ge
12
Direct
0.672 0.089 0.208
0.172 0.411 0.292
0.828 0.589 0.292
0.328 0.911 0.208
0.328 0.911 0.792
0.828 0.589 0.708
0.172 0.411 0.708
0.672 0.089 0.792
0.392 0.753 0.000
0.892 0.747 0.500
0.108 0.253 0.500
0.608 0.247 0.000
```

Computed properties:
SG = Pnnm
energy relative to the lowest polymorph listed for this composition = 268 meV per atom
total magnetic moment = 0.00 μB per cell

Entry 9:
A geometry-optimized GeH5 structure. Source: the Alexandria database, functional PBE-GGA.

POSCAR file:
```
GeH5
1.0
3.468 0.000 0.000
0.000 2.557 0.000
0.000 -1.278 5.491
H Ge
5 1
Direct
0.500 0.751 0.502
0.000 0.608 0.216
0.500 0.500 0.000
0.000 0.392 0.784
0.500 0.249 0.498
0.000 0.000 0.000
```

Computed properties:
SG = Cmmm
total DFT energy (no corrections) = -2.867 eV/atom
total magnetic moment = 0.00 μB per cell

Entry 10:
A geometry-optimized Hf2Ge2H structure. Source: the Alexandria database, functional PBE-GGA.

POSCAR file:
```
Hf2Ge2H
1.0
3.545 0.000 0.000
0.000 3.545 0.000
1.773 1.773 7.256
H Ge Hf
1 2 2
Direct
0.000 0.000 0.000
0.750 0.250 0.500
0.250 0.750 0.500
0.400 0.400 0.201
0.600 0.600 0.799
```

Computed properties:
SG = I4/mmm
energy relative to the lowest polymorph listed for this composition = 777 meV per atom
total magnetic moment = 0.76 μB per cell

Entry 11:
A geometry-optimized HfGeH structure. Source: the Alexandria database, functional PBE-GGA.

POSCAR file:
```
HfGeH
1.0
-0.200 -1.763 -2.972
4.862 -2.796 1.332
-4.360 -5.803 3.735
Hf Ge H
4 4 4
Direct
0.750 0.440 0.289
0.750 0.060 0.789
0.250 0.940 0.211
0.250 0.560 0.711
0.250 0.324 0.007
0.250 0.176 0.507
0.750 0.824 0.493
0.750 0.676 0.993
0.250 0.894 0.772
0.250 0.606 0.272
0.750 0.394 0.728
0.750 0.106 0.228
```

Computed properties:
SG = Pnma
energy relative to the lowest polymorph listed for this composition = 83 meV per atom
total magnetic moment = 0.00 μB per cell

Entry 12:
A geometry-optimized HfGeH structure. Source: the Alexandria database, functional PBE-GGA.

POSCAR file:
```
HfGeH
1.0
3.994 0.000 0.000
0.000 3.450 0.000
0.000 -1.725 2.988
H Ge Hf
1 1 1
Direct
0.166 0.000 0.000
0.667 0.333 0.667
0.167 0.667 0.333
```

Computed properties:
SG = P-6m2
energy relative to the lowest polymorph listed for this composition = 27 meV per atom
total magnetic moment = 0.00 μB per cell

Q: Which of these has the highest total magnetic moment?
A: Hf2Ge2H

Repeat the ninth record exactly.
A geometry-optimized GeH5 structure. Source: the Alexandria database, functional PBE-GGA.

POSCAR file:
```
GeH5
1.0
3.468 0.000 0.000
0.000 2.557 0.000
0.000 -1.278 5.491
H Ge
5 1
Direct
0.500 0.751 0.502
0.000 0.608 0.216
0.500 0.500 0.000
0.000 0.392 0.784
0.500 0.249 0.498
0.000 0.000 0.000
```

Computed properties:
SG = Cmmm
total DFT energy (no corrections) = -2.867 eV/atom
total magnetic moment = 0.00 μB per cell

Q: Which value of total magnetic moment does entry 4 give?
A: 0.00 μB per cell